VASP calculation (PBE) on a relaxed structure of P2CSF.

**Energy above the most stable polymorph in this dataset**: 0.0 meV per atom
**Total magnetization**: 0.000 Bohr magnetons per cell
**DOS at the Fermi energy**: 2.2 states/eV per cell
**Energy relative to the elements, uncorrected**: 1033 meV per atom
**Volume**: 67.5 Å³/cell
**Space group**: No. 123

Lattice parameters (Å, degrees): 4.0758 4.0758 4.0638 90.00 90.00 90.00
Last column: nearest neighbours and their distance in Å.
Positions (direct):
P  0.0000  0.5000  0.0000  2 C 2.04
P  0.5000  0.0000  0.0000  2 C 2.04
C  0.0000  0.0000  0.0000  2 S 2.03, 4 P 2.04
S  0.0000  0.0000  0.5000  2 C 2.03
F  0.5000  0.5000  0.5000  8 P 2.88, 4 S 2.88